{"formula": "LaThBeN3", "functional": "GGA-PBE", "state": "optimized geometry", "lattice_angstrom": [[6.9976, 0.0000, 0.0000], [0.0000, 3.5023, 0.0000], [-1.1348, 0.0000, 7.4568]], "species": ["La", "La", "Th", "Th", "Be", "Be", "N", "N", "N", "N", "N", "N"], "frac_coords": [[0.2105, 0.2500, 0.1647], [0.7895, 0.7500, 0.8353], [0.1965, 0.2500, 0.6499], [0.8035, 0.7500, 0.3501], [0.3992, 0.7500, 0.9308], [0.6008, 0.2500, 0.0692], [0.1509, 0.7500, 0.4138], [0.1541, 0.7500, 0.8728], [0.4972, 0.2500, 0.8541], [0.5028, 0.7500, 0.1459], [0.8459, 0.2500, 0.1272], [0.8491, 0.2500, 0.5862]], "energy_ev_per_cell": -98.1, "spacegroup": "No. 11", "magmom_total_mub_per_fu": 0.0, "mass_density_g_cm3": 7.7}